# CoSi2Se4

An optimized crystal structure of CoSi2Se4 (PBE, OQMD via LeMat-Bulk).

Values from the calculation:
Size of the total moment ... 0.000 μB/atom
Total energy ... -4.649 eV/atom

a b c (Å): 6.8523 6.8523 6.2455
angles (deg): 115.68 115.68 30.45
Sites, in units of the cell vectors:
Co 0.0000 0.0000 0.0000
Si 0.2640 0.2640 0.2858
Si 0.7360 0.7360 0.7142
Se 0.1151 0.1151 0.4374
Se 0.3798 0.3798 0.0255
Se 0.6202 0.6202 0.9745
Se 0.8849 0.8849 0.5626